Computed, not measured: crystalline Pa4TiGe3 at its relaxed geometry at the GGA-PBE level of DFT.

Lattice parameters (Å, degrees): 5.5367 8.3404 8.3404 83.67 70.61 70.61
With the nearest neighbours (Å) after each atom.
Element x y z (fractional)
Ge 0.7500 0.0000 0.0000  2 Ge 2.77, 8 Pa 3.08
Ge 0.2500 0.0000 0.0000  2 Ge 2.77, 8 Pa 3.08
Ge 0.3534 0.7933 0.5000  2 Ti 2.69
Ge 0.6466 0.2067 0.5000  2 Ti 2.69
Ge 0.1466 0.5000 0.2067  2 Ti 2.69
Ge 0.8534 0.5000 0.7933  2 Ti 2.69
Pa 0.4057 0.3225 0.8661  1 Pa 2.79, 4 Ge 3.02-3.08
Pa 0.5943 0.6775 0.1339  1 Pa 2.79, 4 Ge 3.02-3.08
Pa 0.7282 0.8661 0.6775  1 Pa 2.79, 4 Ge 3.02-3.08
Pa 0.0943 0.1339 0.6775  1 Pa 2.79, 4 Ge 3.02-3.08
Pa 0.2718 0.1339 0.3225  1 Pa 2.79, 4 Ge 3.02-3.08
Pa 0.9057 0.8661 0.3225  1 Pa 2.79, 4 Ge 3.02-3.08
Pa 0.7718 0.3225 0.1339  1 Pa 2.79, 4 Ge 3.02-3.08
Pa 0.2282 0.6775 0.8661  1 Pa 2.79, 4 Ge 3.02-3.08
Ti 0.7500 0.5000 0.5000  4 Ge 2.69, 2 Ti 2.77
Ti 0.2500 0.5000 0.5000  4 Ge 2.69, 2 Ti 2.77

Calculated values
Fermi-level density of states (states/eV/atom): 2.103
E (eV per cell): -126.43
Calculated formation energy (eV/atom): -0.435
Symmetry: I4/mcm (140)